1.
Material: Sm2AlCo2
Method: DFT, GGA-PBE
State: relaxed Values from VASP.

```
&SYSTEM
  ibrav = 0, nat = 10, ntyp = 3
/
ATOMIC_SPECIES
Sm 150.36 Sm.upf
Al 26.98 Al.upf
Co 58.93 Co.upf
CELL_PARAMETERS angstrom
4.743 -2.757 0.000
4.743 2.757 0.000
-1.804 0.000 7.374
ATOMIC_POSITIONS angstrom
Sm 1.120 0.802 1.076
Sm 6.562 -0.802 6.298
Sm 0.218 -0.802 4.763
Sm 7.464 0.802 2.611
Al 4.292 0.663 1.843
Al 3.390 -0.663 5.530
Co 2.495 0.794 3.647
Co 6.089 0.794 0.040
Co 1.593 -0.794 7.334
Co 5.187 -0.794 3.727
```

## Properties
Magnetization: 0.01 μB/f.u.

---

2.
Material: Sm4AlCo4
Method: DFT, GGA-PBE
State: relaxed Values from VASP.

```
&SYSTEM
  ibrav = 0, nat = 9, ntyp = 3
/
ATOMIC_SPECIES
Sm 150.36 Sm.upf
Al 26.98 Al.upf
Co 58.93 Co.upf
CELL_PARAMETERS angstrom
5.199 -2.039 0.000
5.199 2.039 0.000
-3.172 0.000 8.474
ATOMIC_POSITIONS angstrom
Sm -0.093 0.000 3.265
Sm -0.114 0.000 7.103
Sm 7.340 0.000 1.371
Sm 7.319 0.000 5.209
Al 0.000 0.000 0.000
Co 3.068 0.000 3.206
Co 4.376 0.000 1.210
Co 2.850 0.000 7.264
Co 4.158 0.000 5.267
```

## Properties
Magnetization: 0.00 μB/f.u.

---

3.
Material: Al2CoSn
Method: DFT, GGA-PBE
State: relaxed Values from VASP.

```
&SYSTEM
  ibrav = 0, nat = 8, ntyp = 3
/
ATOMIC_SPECIES
Al 26.98 Al.upf
Co 58.93 Co.upf
Sn 118.71 Sn.upf
CELL_PARAMETERS angstrom
4.240 -3.054 0.000
4.240 3.054 0.000
0.000 0.000 5.416
ATOMIC_POSITIONS angstrom
Al 2.779 1.666 4.062
Al 5.701 1.666 4.062
Al 2.779 -1.666 1.354
Al 5.701 -1.666 1.354
Co 0.000 0.000 0.000
Co 0.000 0.000 2.708
Sn 4.240 0.904 1.354
Sn 4.240 -0.904 4.062
```

## Properties
Magnetization: 0.00 μB/f.u.

---

4.
Material: AlCoSn
Method: DFT, GGA-PBE
State: relaxed Values from VASP.

```
&SYSTEM
  ibrav = 0, nat = 3, ntyp = 3
/
ATOMIC_SPECIES
Al 26.98 Al.upf
Co 58.93 Co.upf
Sn 118.71 Sn.upf
CELL_PARAMETERS angstrom
0.000 2.960 2.960
2.960 0.000 2.960
2.960 2.960 0.000
ATOMIC_POSITIONS angstrom
Al 0.000 0.000 0.000
Co 1.480 1.480 1.480
Sn 2.960 2.960 2.960
```

## Properties
Magnetization: 0.00 μB/f.u.

---

5.
Material: Al2CoSn
Method: DFT, GGA-PBE
State: relaxed Values from VASP.

```
&SYSTEM
  ibrav = 0, nat = 4, ntyp = 3
/
ATOMIC_SPECIES
Al 26.98 Al.upf
Co 58.93 Co.upf
Sn 118.71 Sn.upf
CELL_PARAMETERS angstrom
0.000 3.203 3.203
3.203 0.000 3.203
3.203 3.203 0.000
ATOMIC_POSITIONS angstrom
Al 0.000 0.000 0.000
Al 1.601 1.601 1.601
Co 4.804 4.804 4.804
Sn 3.203 3.203 3.203
```

## Properties
Magnetization: 0.22 μB/f.u.

---

6.
Material: AlCoSn2
Method: DFT, GGA-PBE
State: relaxed Values from VASP.

```
&SYSTEM
  ibrav = 0, nat = 4, ntyp = 3
/
ATOMIC_SPECIES
Al 26.98 Al.upf
Co 58.93 Co.upf
Sn 118.71 Sn.upf
CELL_PARAMETERS angstrom
0.000 3.388 3.388
3.388 0.000 3.388
3.388 3.388 0.000
ATOMIC_POSITIONS angstrom
Al 0.000 0.000 0.000
Co 1.694 1.694 1.694
Sn 3.388 3.388 3.388
Sn 5.082 5.082 5.082
```

## Properties
Magnetization: 0.00 μB/f.u.

---

7.
Material: Y2Al3Co2Sn
Method: DFT, GGA-PBE
State: relaxed Values from VASP.

```
&SYSTEM
  ibrav = 0, nat = 8, ntyp = 4
/
ATOMIC_SPECIES
Y 88.91 Y.upf
Al 26.98 Al.upf
Co 58.93 Co.upf
Sn 118.71 Sn.upf
CELL_PARAMETERS angstrom
5.128 -2.032 0.000
5.128 2.032 0.000
-0.011 0.000 7.019
ATOMIC_POSITIONS angstrom
Y 0.000 0.000 0.000
Y 1.265 0.000 3.382
Al 4.056 0.000 2.022
Al 7.329 0.000 5.583
Al 7.373 0.000 1.263
Co 2.744 0.000 6.946
Co 8.586 0.000 3.371
Sn 4.228 0.000 4.820
```

## Properties
Magnetization: 0.00 μB/f.u.

---

8.
Material: Y2AlCo2Sn3
Method: DFT, GGA-PBE
State: relaxed Values from VASP.

```
&SYSTEM
  ibrav = 0, nat = 8, ntyp = 4
/
ATOMIC_SPECIES
Y 88.91 Y.upf
Al 26.98 Al.upf
Co 58.93 Co.upf
Sn 118.71 Sn.upf
CELL_PARAMETERS angstrom
5.279 -2.104 0.000
5.279 2.104 0.000
-0.012 0.000 7.165
ATOMIC_POSITIONS angstrom
Y 0.000 0.000 0.000
Y 1.385 0.000 3.698
Al 7.609 0.000 5.779
Co 2.818 0.000 7.131
Co 8.916 0.000 3.615
Sn 4.399 0.000 2.137
Sn 4.397 0.000 5.075
Sn 7.433 0.000 1.418
```

## Properties
Magnetization: 0.00 μB/f.u.

---

| no. | total energy (eV per atom) |
| --- | --- |
| 1 | -5.79 |
| 2 | -5.90 |
| 3 | -4.57 |
| 4 | -5.15 |
| 5 | -4.42 |
| 6 | -4.28 |
| 7 | -5.83 |
| 8 | -5.86 |